1.
## P2NF (PBE-GGA)

Data for a geometry-optimized P2NF structure.

Cell and atoms, written as CIF:
```
data_P2NF
_cell_length_a 4.0921
_cell_length_b 4.0921
_cell_length_c 12.4346
_cell_angle_alpha 90.00
_cell_angle_beta 90.00
_cell_angle_gamma 90.00
_symmetry_space_group_name_H-M 'I -4 2 d'
_symmetry_Int_Tables_number 122
_symmetry_space_group_name_Hall 'I -4 2bw'
loop_
_atom_site_label
_atom_site_fract_x
_atom_site_fract_y
_atom_site_fract_z
P1 0.1082 0.2500 0.1250
N1 0.0000 0.0000 0.0000
F1 0.0000 0.0000 0.5000
```

=====

2.
## PPbNF2 (PBE-GGA)

Data for a geometry-optimized PPbNF2 structure.

Cell and atoms, written as CIF:
```
data_PPbNF2
_cell_length_a 4.6314
_cell_length_b 4.6314
_cell_length_c 3.4322
_cell_angle_alpha 90.00
_cell_angle_beta 90.00
_cell_angle_gamma 90.00
_symmetry_space_group_name_H-M 'P 4/m m m'
_symmetry_Int_Tables_number 123
_symmetry_space_group_name_Hall '-P 4 2'
loop_
_atom_site_label
_atom_site_fract_x
_atom_site_fract_y
_atom_site_fract_z
P1 0.0000 0.0000 0.0000
Pb1 0.5000 0.5000 0.5000
N1 0.0000 0.0000 0.5000
F1 0.0000 0.5000 0.0000
```

=====

3.
## PPbNF2 (PBE-GGA)

Data for a geometry-optimized PPbNF2 structure.

Cell and atoms, written as CIF:
```
data_PPbNF2
_cell_length_a 4.4539
_cell_length_b 4.4539
_cell_length_c 4.5966
_cell_angle_alpha 90.00
_cell_angle_beta 90.00
_cell_angle_gamma 90.00
_symmetry_space_group_name_H-M 'P 4/m m m'
_symmetry_Int_Tables_number 123
_symmetry_space_group_name_Hall '-P 4 2'
loop_
_atom_site_label
_atom_site_fract_x
_atom_site_fract_y
_atom_site_fract_z
P1 0.0000 0.0000 0.0000
Pb1 0.5000 0.5000 0.5000
N1 0.5000 0.5000 0.0000
F1 0.0000 0.5000 0.5000
```

=====

4.
## P2PdNF (PBE-GGA)

Data for a geometry-optimized P2PdNF structure.

Cell and atoms, written as CIF:
```
data_P2PdNF
_cell_length_a 4.1434
_cell_length_b 4.1434
_cell_length_c 4.5776
_cell_angle_alpha 90.00
_cell_angle_beta 90.00
_cell_angle_gamma 90.00
_symmetry_space_group_name_H-M 'P 4/m m m'
_symmetry_Int_Tables_number 123
_symmetry_space_group_name_Hall '-P 4 2'
loop_
_atom_site_label
_atom_site_fract_x
_atom_site_fract_y
_atom_site_fract_z
P1 0.0000 0.5000 0.0000
Pd1 0.0000 0.0000 0.5000
N1 0.5000 0.5000 0.5000
F1 0.0000 0.0000 0.0000
```

=====

5.
## PmPN2F (PBE-GGA)

Data for a geometry-optimized PmPN2F structure.

Cell and atoms, written as CIF:
```
data_PmPN2F
_cell_length_a 6.1242
_cell_length_b 4.0244
_cell_length_c 6.8420
_cell_angle_alpha 90.00
_cell_angle_beta 108.92
_cell_angle_gamma 90.00
_symmetry_space_group_name_H-M 'P 1 21/m 1'
_symmetry_Int_Tables_number 11
loop_
_symmetry_equiv_pos_as_xyz
'x,y,z'
'-x,-y,-z'
'-x,y+1/2,-z'
'x,-y+1/2,z'
loop_
_atom_site_label
_atom_site_fract_x
_atom_site_fract_y
_atom_site_fract_z
Pm1 0.2049 0.2500 0.3663
P1 0.4005 0.7500 0.0649
N1 0.1507 0.7500 0.9129
N2 0.4711 0.7500 0.3093
F1 0.0602 0.7500 0.4285
```

=====

6.
## PrPN2F (PBE-GGA)

Data for a geometry-optimized PrPN2F structure.

Cell and atoms, written as CIF:
```
data_PrPN2F
_cell_length_a 6.2566
_cell_length_b 4.0727
_cell_length_c 6.7632
_cell_angle_alpha 90.00
_cell_angle_beta 108.12
_cell_angle_gamma 90.00
_symmetry_space_group_name_H-M 'P 1 21/m 1'
_symmetry_Int_Tables_number 11
loop_
_symmetry_equiv_pos_as_xyz
'x,y,z'
'-x,-y,-z'
'-x,y+1/2,-z'
'x,-y+1/2,z'
loop_
_atom_site_label
_atom_site_fract_x
_atom_site_fract_y
_atom_site_fract_z
Pr1 0.2003 0.2500 0.3507
P1 0.4072 0.7500 0.0710
N1 0.1582 0.7500 0.9315
N2 0.4868 0.7500 0.3164
F1 0.0612 0.7500 0.4267
```

=====

7.
## PPtN2F (PBE-GGA)

Data for a geometry-optimized PPtN2F structure.

Cell and atoms, written as CIF:
```
data_PPtN2F
_cell_length_a 3.6878
_cell_length_b 3.6878
_cell_length_c 3.5851
_cell_angle_alpha 90.00
_cell_angle_beta 90.00
_cell_angle_gamma 90.00
_symmetry_space_group_name_H-M 'P 4/m m m'
_symmetry_Int_Tables_number 123
_symmetry_space_group_name_Hall '-P 4 2'
loop_
_atom_site_label
_atom_site_fract_x
_atom_site_fract_y
_atom_site_fract_z
P1 0.0000 0.0000 0.0000
Pt1 0.5000 0.5000 0.5000
N1 0.0000 0.5000 0.0000
F1 0.0000 0.0000 0.5000
```

=====

8.
## PPtNF2 (PBE-GGA)

Data for a geometry-optimized PPtNF2 structure.

Cell and atoms, written as CIF:
```
data_PPtNF2
_cell_length_a 4.4490
_cell_length_b 4.4490
_cell_length_c 3.2139
_cell_angle_alpha 90.00
_cell_angle_beta 90.00
_cell_angle_gamma 90.00
_symmetry_space_group_name_H-M 'P 4/m m m'
_symmetry_Int_Tables_number 123
_symmetry_space_group_name_Hall '-P 4 2'
loop_
_atom_site_label
_atom_site_fract_x
_atom_site_fract_y
_atom_site_fract_z
P1 0.0000 0.0000 0.0000
Pt1 0.5000 0.5000 0.5000
N1 0.0000 0.0000 0.5000
F1 0.0000 0.5000 0.0000
```

=====

9.
## PPtN2F (PBE-GGA)

Data for a geometry-optimized PPtN2F structure.

Cell and atoms, written as CIF:
```
data_PPtN2F
_cell_length_a 3.9437
_cell_length_b 3.9437
_cell_length_c 4.1513
_cell_angle_alpha 90.00
_cell_angle_beta 90.00
_cell_angle_gamma 90.00
_symmetry_space_group_name_H-M 'P 4/m m m'
_symmetry_Int_Tables_number 123
_symmetry_space_group_name_Hall '-P 4 2'
loop_
_atom_site_label
_atom_site_fract_x
_atom_site_fract_y
_atom_site_fract_z
P1 0.0000 0.0000 0.0000
Pt1 0.5000 0.5000 0.5000
N1 0.0000 0.5000 0.5000
F1 0.5000 0.5000 0.0000
```

=====

10.
## PPtNF2 (PBE-GGA)

Data for a geometry-optimized PPtNF2 structure.

Cell and atoms, written as CIF:
```
data_PPtNF2
_cell_length_a 4.4736
_cell_length_b 4.4736
_cell_length_c 3.7252
_cell_angle_alpha 90.00
_cell_angle_beta 90.00
_cell_angle_gamma 90.00
_symmetry_space_group_name_H-M 'P 4/m m m'
_symmetry_Int_Tables_number 123
_symmetry_space_group_name_Hall '-P 4 2'
loop_
_atom_site_label
_atom_site_fract_x
_atom_site_fract_y
_atom_site_fract_z
P1 0.0000 0.0000 0.0000
Pt1 0.5000 0.5000 0.5000
N1 0.5000 0.5000 0.0000
F1 0.0000 0.5000 0.5000
```

=====

11.
## RbPNF2 (PBE-GGA)

Data for a geometry-optimized RbPNF2 structure.

Cell and atoms, written as CIF:
```
data_RbPNF2
_cell_length_a 4.6376
_cell_length_b 4.6376
_cell_length_c 3.3468
_cell_angle_alpha 90.00
_cell_angle_beta 90.00
_cell_angle_gamma 90.00
_symmetry_space_group_name_H-M 'P 4/m m m'
_symmetry_Int_Tables_number 123
_symmetry_space_group_name_Hall '-P 4 2'
loop_
_atom_site_label
_atom_site_fract_x
_atom_site_fract_y
_atom_site_fract_z
Rb1 0.0000 0.0000 0.0000
P1 0.5000 0.5000 0.5000
N1 0.5000 0.5000 0.0000
F1 0.0000 0.5000 0.5000
```

=====

12.
## Rb2PNF6 (PBE-GGA)

Data for a geometry-optimized Rb2PNF6 structure.

Cell and atoms, written as CIF:
```
data_Rb2PNF6
_cell_length_a 6.4968
_cell_length_b 6.4968
_cell_length_c 8.9650
_cell_angle_alpha 90.00
_cell_angle_beta 90.00
_cell_angle_gamma 90.00
_symmetry_space_group_name_H-M 'I 4/m m m'
_symmetry_Int_Tables_number 139
_symmetry_space_group_name_Hall '-I 4 2'
loop_
_atom_site_label
_atom_site_fract_x
_atom_site_fract_y
_atom_site_fract_z
Rb1 0.0000 0.5000 0.2500
P1 0.0000 0.0000 0.0000
N1 0.0000 0.0000 0.5000
F1 0.0000 0.0000 0.1840
F2 0.1797 0.1797 0.0000
```

=====

13.
## RbPN2F (PBE-GGA)

Data for a geometry-optimized RbPN2F structure.

Cell and atoms, written as CIF:
```
data_RbPN2F
_cell_length_a 5.8334
_cell_length_b 5.8334
_cell_length_c 4.9705
_cell_angle_alpha 90.00
_cell_angle_beta 90.00
_cell_angle_gamma 90.00
_symmetry_space_group_name_H-M 'P 4/m m m'
_symmetry_Int_Tables_number 123
_symmetry_space_group_name_Hall '-P 4 2'
loop_
_atom_site_label
_atom_site_fract_x
_atom_site_fract_y
_atom_site_fract_z
Rb1 0.0000 0.0000 0.0000
P1 0.5000 0.5000 0.5000
N1 0.0000 0.5000 0.0000
F1 0.0000 0.0000 0.5000
```

=====

14.
## RbPN2F (PBE-GGA)

Data for a geometry-optimized RbPN2F structure.

Cell and atoms, written as CIF:
```
data_RbPN2F
_cell_length_a 3.4720
_cell_length_b 3.4720
_cell_length_c 5.5899
_cell_angle_alpha 90.00
_cell_angle_beta 90.00
_cell_angle_gamma 90.00
_symmetry_space_group_name_H-M 'P 4/m m m'
_symmetry_Int_Tables_number 123
_symmetry_space_group_name_Hall '-P 4 2'
loop_
_atom_site_label
_atom_site_fract_x
_atom_site_fract_y
_atom_site_fract_z
Rb1 0.0000 0.0000 0.0000
P1 0.5000 0.5000 0.5000
N1 0.0000 0.5000 0.5000
F1 0.5000 0.5000 0.0000
```

=====

Short version: ΔE_f (raw) = 0.68; -3.41; 0.83; 8.28; -6.73; -6.60; 4.05; 1.34; 6.56; 2.42; -5.71; -17.99; 9.23; -0.99 eV/f.u., in the order given.